#A
Entry from the Alexandria database: a relaxed B2HI crystal (PBE).

The structure in POSCAR format:
```
B2HI
1.0
-1.612 1.612 11.383
1.612 -1.612 11.383
1.612 1.612 -11.383
B H I
4 2 2
Cartesian
0.000 0.000 0.000 B
0.806 0.806 -5.692 B
0.806 -0.806 5.692 B
0.000 1.612 0.000 B
1.612 -0.806 8.537 H
0.000 2.419 2.846 H
1.612 0.806 2.846 I
0.000 0.806 8.537 I
```

Symmetry ... I4_1/amd, No. 141
Fermi-level density of states ... 1.30 states/eV/f.u.

***

#B
Entry from the Alexandria database: a relaxed B2HI crystal (PBE).

The structure in POSCAR format:
```
B2HI
1.0
0.000 2.895 2.895
2.895 0.000 2.895
2.895 2.895 0.000
B H I
2 1 1
Cartesian
1.447 1.447 1.447 B
4.342 4.342 4.342 B
0.000 0.000 0.000 H
2.895 2.895 2.895 I
```

Symmetry ... Fm-3m, No. 225
Fermi-level density of states ... 1.55 states/eV/f.u.

***

Which structure is the most stable? The one labeled #A.